This record from Alexandria describes a geometry-optimized TiCdGa structure. The functional is PBE.

Properties
SG = I4mm
total energy = -4.058 eV per atom
energy of formation = -112 meV/atom

abc: 2.909 2.909 6.695
angles: 102.55 102.55 90.00
Fractional positions:
Ga  0.678  0.678  0.356
Cd  0.999  0.999  0.997
Ti  0.323  0.323  0.647